No. 1
Material: Pa2SnSb4
Method: DFT, PBE
State: optimized geometry

* DFT total energy: -0.2170 hartree per atom

Cell: 4.2953 4.2953 11.1303 Å, 90.00 90.00 90.00°
Space group P-4m2 (No. 115)
Inequivalent atoms, fractional coordinates:
Pa: 0.0000 0.5000 0.2156 [2 per cell]
Sn: 0.0000 0.0000 0.5000 [1 per cell]
Sb: 0.0000 0.0000 0.0000 [1 per cell]
Sb: 0.0000 0.5000 0.7124 [2 per cell]
Sb: 0.5000 0.5000 0.0000 [1 per cell]

No. 2
Material: Pa4SnSb5
Method: DFT, PBE
State: optimized geometry

* DFT total energy: -0.2416 hartree per atom

Cell: 4.3065 4.3065 55.9892 Å, 90.00 90.00 120.00°
Space group R-3m (No. 166, hexagonal axes)
Inequivalent atoms, fractional coordinates:
Pa: 0.0000 0.0000 0.0972 [6 per cell]
Pa: 0.0000 0.0000 0.3007 [6 per cell]
Sn: 0.0000 0.0000 0.5000 [3 per cell]
Sb: 0.0000 0.0000 0.0000 [3 per cell]
Sb: 0.0000 0.0000 0.2024 [6 per cell]
Sb: 0.0000 0.0000 0.3984 [6 per cell]